The following is a PBE calculation of SnH6Br after structural relaxation, from Alexandria via LeMat-Bulk.

Geometry as POSCAR:
```
SnH6Br
1.0
8.325 1.569 1.987
-3.242 2.640 0.470
1.739 -0.107 3.830
H Br Sn
6 1 1
Cartesian
2.195 1.620 4.513
2.929 0.385 2.415
2.207 2.647 2.372
4.626 2.482 1.774
4.614 1.455 3.915
3.892 3.717 3.872
0.000 0.000 0.000
4.162 0.785 0.993
```

**VASP energy**: -21.44 eV/f.u.
**DOS(E_F)**: 1.0 states/eV/cell